A geometry-optimized ZnAsAu structure, computed with PBE-GGA.

E in eV/atom: -2.957
Space group: Imm2
Calculated formation energy in eV per formula unit: 0.329
DOS(E_F) in states/eV per cell: 0.80

Unit cell a=4.9180 b=4.9180 c=4.9180 alpha=143.64 beta=129.74 gamma=63.60
Closest atoms and distances in Å follow each position.
Fractional coordinates of all 3 atoms:
As  0.0000  0.0000  0.0000  5 Zn 2.77-2.95, 5 Au 2.77-2.95, 2 As 3.07
Zn  0.6687  0.6687  0.0000  5 As 2.77-2.95, 5 Au 2.82-2.93, 2 Zn 3.07
Au  0.3313  0.3313  0.0000  5 As 2.77-2.95, 5 Zn 2.82-2.93, 2 Au 3.07